Computed, not measured: a relaxed Be3B crystal at the GGA-PBE level of DFT.

Results
The calculation puts the theoretical density at 1.986 g/cm3. For the polymorph energy (0 for the lowest one), the calculation gives 3.07 kcal/mol of atoms. The calculation puts the density of states at the Fermi level at 0.16 states/eV per atom. Its crystal system is triclinic.

Unit cell a=3.7258 b=4.0223 c=4.6428 alpha=104.20 beta=101.59 gamma=102.94
Last column: nearest neighbours and their distance in Å.
Space group P1 (No. 1)
Asymmetric unit:
Be 0.0000 0.0000 0.0000  3 B 1.95-2.04
Be 0.0476 0.4612 0.7537  3 B 1.90-2.04
Be 0.2234 0.6240 0.2923  2 B 1.93-2.00, 2 Be 2.10-2.14
Be 0.4478 0.0976 0.7141  3 B 2.01-2.07, 2 Be 2.23
Be 0.6315 0.3127 0.2846  2 B 1.89-2.05, 1 Be 2.11
Be 0.8164 0.8770 0.4418  2 B 1.96-2.01, 3 Be 2.10-2.14
B 0.4803 0.8325 0.0291  1 B 1.75, 4 Be 1.89-1.95
B 0.5598 0.6142 0.6826  1 B 1.75, 1 Be 1.96

Computed, not measured: a relaxed Be3B crystal at the GGA-PBE level of DFT.

Results
The calculation puts the theoretical density at 2.001 g/cm3. For the polymorph energy (0 for the lowest one), the calculation gives 2.37 kcal/mol of atoms. The calculation puts the density of states at the Fermi level at 0.16 states/eV per atom. Its crystal system is monoclinic.

Unit cell a=4.7155 b=6.0901 c=4.7356 alpha=90.00 beta=112.49 gamma=90.00
Last column: nearest neighbours and their distance in Å.
Space group C2/m (No. 12)
Asymmetric unit:
Be 0.0000 0.1766 0.0000  2 B 2.00, 3 Be 2.15-2.21
Be 0.0000 0.3032 0.5000  4 B 2.06
Be 0.1925 0.5000 0.1880  2 B 1.86-1.87, 1 Be 2.00
B 0.1172 0.0000 0.3847  1 B 1.83, 4 Be 1.86-2.00

Computed, not measured: a relaxed Be4B crystal at the GGA-PBE level of DFT.

Results
The calculation puts the theoretical density at 1.671 g/cm3. For the polymorph energy (0 for the lowest one), the calculation gives 12.30 kcal/mol of atoms. The calculation puts the density of states at the Fermi level at 0.27 states/eV per atom. Its crystal system is cubic.

Unit cell a=3.5979 b=3.5979 c=3.5979 alpha=90.00 beta=90.00 gamma=90.00
Last column: nearest neighbours and their distance in Å.
Space group Pm-3m (No. 221)
Asymmetric unit:
Be 0.0000 0.0000 0.0000  12 Be 2.54
Be 0.0000 0.5000 0.5000  2 B 1.80
B 0.5000 0.5000 0.5000  6 Be 1.80

Computed, not measured: a relaxed Be3B crystal at the GGA-PBE level of DFT.

Results
The calculation puts the theoretical density at 2.011 g/cm3. For the polymorph energy (0 for the lowest one), the calculation gives 1.94 kcal/mol of atoms. The calculation puts the density of states at the Fermi level at 0.22 states/eV per atom. Its crystal system is trigonal.

Unit cell a=3.2566 b=3.2566 c=10.2075 alpha=90.00 beta=90.00 gamma=120.00
Last column: nearest neighbours and their distance in Å.
Space group R3m (No. 160, hexagonal axes)
Asymmetric unit:
Be 0.0000 0.0000 0.0000  3 B 2.01, 4 Be 2.10-2.18
Be 0.0000 0.0000 0.2061  1 B 2.00, 4 Be 2.10-2.13
Be 0.0000 0.0000 0.7739  3 B 1.92, 3 Be 2.13
B 0.0000 0.0000 0.4021  7 Be 1.92-2.01

Which value of theoretical density does entry 4 give?
2.011 g/cm3

Number 3 is which compound?
Be4B